(1)
First-principles (PBE) data for a relaxed CaPmSm crystal, as listed in Alexandria.

Unit cell a=8.318 b=8.318 c=8.318 alpha=154.24 beta=154.24 gamma=36.75
Fractional positions:
Ca 0.000 0.000 0.000
Pm 0.324 0.324 0.000
Sm 0.675 0.675 0.000

Output
The formation energy is 0.036 eV per atom. The magnetization comes out at 0.0 μB/f.u. The total energy is -3.79 eV per atom. Its crystal system is tetragonal.


(2)
First-principles (PBE) data for a relaxed CaPm4Sm4 crystal, as listed in Alexandria.

Unit cell a=6.668 b=8.937 c=11.619 alpha=89.19 beta=88.55 gamma=68.11
Fractional positions:
Ca 0.176 0.306 0.066
Ca 0.824 0.694 0.934
Pm 0.048 0.905 0.746
Pm 0.131 0.503 0.631
Pm 0.419 0.085 0.777
Pm 0.438 0.518 0.863
Pm 0.562 0.482 0.137
Pm 0.581 0.915 0.223
Pm 0.869 0.497 0.369
Pm 0.952 0.095 0.254
Sm 0.216 0.072 0.500
Sm 0.250 0.857 0.025
Sm 0.254 0.709 0.358
Sm 0.457 0.302 0.376
Sm 0.543 0.698 0.624
Sm 0.746 0.291 0.642
Sm 0.750 0.143 0.975
Sm 0.784 0.928 0.500

Output
The formation energy is 0.138 eV per atom. The magnetization comes out at 0.0 μB/f.u. The total energy is -4.29 eV per atom. Its crystal system is triclinic.


(3)
First-principles (PBE) data for a relaxed CaPmSm2 crystal, as listed in Alexandria.

Unit cell a=12.376 b=12.376 c=12.376 alpha=17.06 beta=17.06 gamma=17.06
Fractional positions:
Ca 0.000 0.000 0.000
Pm 0.500 0.500 0.500
Sm 0.246 0.246 0.246
Sm 0.754 0.754 0.754

Output
The formation energy is 0.048 eV per atom. The magnetization comes out at 0.0 μB/f.u. The total energy is -4.00 eV per atom. Its crystal system is trigonal.


(4)
First-principles (PBE) data for a relaxed CaPm5Sm12 crystal, as listed in Alexandria.

Unit cell a=10.549 b=10.549 c=6.038 alpha=90.36 beta=90.36 gamma=112.54
Fractional positions:
Ca 0.000 0.000 0.000
Pm 0.171 0.829 0.500
Pm 0.320 0.680 0.000
Pm 0.500 0.500 0.500
Pm 0.680 0.320 0.000
Pm 0.829 0.171 0.500
Sm 0.021 0.344 0.943
Sm 0.157 0.489 0.442
Sm 0.176 0.176 0.523
Sm 0.344 0.021 0.943
Sm 0.346 0.346 0.027
Sm 0.489 0.157 0.442
Sm 0.511 0.843 0.558
Sm 0.654 0.654 0.973
Sm 0.656 0.979 0.057
Sm 0.824 0.824 0.477
Sm 0.843 0.511 0.558
Sm 0.979 0.656 0.057

Output
The formation energy is 0.112 eV per atom. The magnetization comes out at 0.0 μB/f.u. The total energy is -4.46 eV per atom. Its crystal system is monoclinic.


Repeat the third record exactly.
First-principles (PBE) data for a relaxed CaPmSm2 crystal, as listed in Alexandria.

Unit cell a=12.376 b=12.376 c=12.376 alpha=17.06 beta=17.06 gamma=17.06
Fractional positions:
Ca 0.000 0.000 0.000
Pm 0.500 0.500 0.500
Sm 0.246 0.246 0.246
Sm 0.754 0.754 0.754

Output
The formation energy is 0.048 eV per atom. The magnetization comes out at 0.0 μB/f.u. The total energy is -4.00 eV per atom. Its crystal system is trigonal.